{"formula": "Tb2MnNiO6", "functional": "GGA+U", "state": "optimized geometry", "lattice_angstrom": [[5.289, 0.000, 0.000], [0.000, 5.605, 0.000], [-5.240, 0.000, 7.591]], "species": ["Tb", "Tb", "Tb", "Tb", "Mn", "Mn", "Ni", "Ni", "O", "O", "O", "O", "O", "O", "O", "O", "O", "O", "O", "O"], "frac_coords": [[0.230, 0.070, 0.249], [0.230, 0.430, 0.749], [0.770, 0.570, 0.251], [0.770, 0.930, 0.751], [0.500, 0.000, 0.000], [0.500, 0.500, 0.500], [0.000, 0.000, 0.500], [0.000, 0.500, 0.000], [0.151, 0.189, 0.948], [0.151, 0.311, 0.448], [0.259, 0.708, 0.944], [0.259, 0.792, 0.444], [0.363, 0.035, 0.757], [0.363, 0.465, 0.257], [0.637, 0.535, 0.743], [0.637, 0.965, 0.243], [0.741, 0.208, 0.556], [0.741, 0.292, 0.056], [0.849, 0.689, 0.552], [0.849, 0.811, 0.052]], "dos_at_fermi_per_ev_atom": 0.00, "total_energy_ev_per_atom": -7.379}